An optimized crystal structure of CoPbSeO, computed with PBE with a Hubbard U.

Cell lengths 5.714, 7.938, 13.657 Å; angles 90.00, 90.00, 90.00 degrees
Positions (direct):
Co  0.007  0.123  0.248
Co  0.007  0.377  0.748
Co  0.493  0.623  0.248
Co  0.493  0.877  0.748
Co  0.507  0.123  0.252
Co  0.507  0.377  0.752
Co  0.993  0.623  0.252
Co  0.993  0.877  0.752
Pb  0.246  0.125  0.941
Pb  0.246  0.375  0.441
Pb  0.254  0.625  0.941
Pb  0.254  0.875  0.441
Pb  0.746  0.125  0.559
Pb  0.746  0.375  0.059
Pb  0.754  0.625  0.559
Pb  0.754  0.875  0.059
Se  0.244  0.125  0.647
Se  0.244  0.375  0.147
Se  0.256  0.625  0.647
Se  0.256  0.875  0.147
Se  0.744  0.125  0.853
Se  0.744  0.375  0.353
Se  0.756  0.625  0.853
Se  0.756  0.875  0.353
O  0.247  0.625  0.347
O  0.247  0.875  0.847
O  0.253  0.125  0.347
O  0.253  0.375  0.847
O  0.747  0.625  0.153
O  0.747  0.875  0.653
O  0.753  0.125  0.153
O  0.753  0.375  0.653

Summary:
Relative energy among the computed polymorphs: 72 meV per atom